[1]
Computed, not measured: a relaxed Tl3Cd7Sn2 crystal at the GGA-PBE level of DFT.

Results
Volume in Å³/atom: 26.631
Calculated formation energy in meV/atom: 60

Cell: 3.184 5.795 17.369 Å, 85.71 90.00 90.00°
Element x y z (fractional)
Tl: 0.500 0.500 0.000
Tl: 0.000 0.290 0.356
Tl: 0.000 0.710 0.644
Cd: 0.500 0.758 0.472
Cd: 0.500 0.242 0.528
Cd: 0.000 0.558 0.166
Cd: 0.000 0.000 0.000
Cd: 0.000 0.442 0.834
Cd: 0.500 0.902 0.854
Cd: 0.500 0.098 0.146
Sn: 0.500 0.806 0.297
Sn: 0.500 0.194 0.703

[2]
Computed, not measured: a relaxed TlCd3Sn3 crystal at the GGA-PBE level of DFT.

Results
Volume in Å³/atom: 27.417
Calculated formation energy in meV/atom: 77
Polymorph energy (0 for the lowest one) in meV/atom: 0

Cell: 8.356 8.356 8.356 Å, 56.98 56.98 56.98°
Element x y z (fractional)
Tl: 0.352 0.352 0.352
Tl: 0.648 0.648 0.648
Cd: 0.727 0.178 0.914
Cd: 0.178 0.914 0.727
Cd: 0.914 0.727 0.178
Cd: 0.086 0.273 0.822
Cd: 0.822 0.086 0.273
Cd: 0.273 0.822 0.086
Sn: 0.733 0.584 0.054
Sn: 0.054 0.733 0.584
Sn: 0.584 0.054 0.733
Sn: 0.416 0.946 0.267
Sn: 0.946 0.267 0.416
Sn: 0.267 0.416 0.946

[3]
Computed, not measured: a relaxed Tl2CdSn crystal at the GGA-PBE level of DFT.

Results
Volume in Å³/atom: 28.184
Calculated formation energy in meV/atom: 57
Polymorph energy (0 for the lowest one) in meV/atom: 34

Cell: 3.599 3.599 8.704 Å, 90.00 90.00 90.00°
Element x y z (fractional)
Tl: 0.000 0.000 0.760
Tl: 0.000 0.000 0.240
Sn: 0.500 0.500 0.500
Cd: 0.500 0.500 0.000

[4]
Computed, not measured: a relaxed TlCd2Sn crystal at the GGA-PBE level of DFT.

Results
Volume in Å³/atom: 27.650
Calculated formation energy in meV/atom: 36
Polymorph energy (0 for the lowest one) in meV/atom: 0

Cell: 5.111 6.463 7.292 Å, 89.18 90.00 113.29°
Element x y z (fractional)
Tl: 0.481 0.963 0.295
Tl: 0.321 0.641 0.783
Cd: 0.784 0.567 0.485
Cd: 0.774 0.549 0.072
Cd: 0.604 0.208 0.783
Cd: 0.021 0.042 0.009
Sn: 0.021 0.043 0.598
Sn: 0.198 0.396 0.293

Total magnetization across the listed records, respectively: 0.000, 0.000, 0.000, 0.000 μB/atom.
Raw total energy across the listed records, respectively: -0.1274, -0.1741, -0.1732, -0.1480 Ry/atom.
N(E_F) across the listed records, respectively: 4.857, 5.986, 1.250, 2.753 states/eV/cell.